Record 1
Entry from the Open Quantum Materials Database: DyEr3Tl2N2 after structural relaxation (PBE-GGA).

Summary:
uncorrected energy	-5.9762	eV/atom
crystal system	trigonal
theoretical density	11.0	g cm⁻³
magnetization	0.01	μB per cell

a = 3.504 Å, b = 3.504 Å, c = 15.635 Å
α = 90.00°, β = 90.00°, γ = 120.00°
Fractional coordinates of all 8 atoms:
Dy (0.000, 0.000, 0.000)
Er (0.000, 0.000, 0.668)
Er (0.667, 0.333, 0.169)
Er (0.667, 0.333, 0.500)
Tl (0.000, 0.000, 0.335)
Tl (0.667, 0.333, 0.833)
N (0.333, 0.667, 0.086)
N (0.333, 0.667, 0.584)

---

Record 2
Entry from the Open Quantum Materials Database: DyErNb after structural relaxation (PBE-GGA).

Summary:
crystal system	cubic
energy of formation from the pure elements	0.793	eV per atom
theoretical density	7.8	g cm⁻³
magnetization	2.06	μB per cell
offset from the most stable computed form	0	meV/atom

a = 5.040 Å, b = 5.040 Å, c = 5.040 Å
α = 60.00°, β = 60.00°, γ = 60.00°
Fractional coordinates of all 3 atoms:
Dy (0.000, 0.000, 0.000)
Er (0.500, 0.500, 0.500)
Nb (0.250, 0.250, 0.250)

---

Record 3
Entry from the Open Quantum Materials Database: DyErNi4 after structural relaxation (PBE-GGA).

Summary:
crystal system	cubic
energy of formation from the pure elements	-0.467	eV per atom
theoretical density	10.4	g cm⁻³
magnetization	0.00	μB per cell
offset from the most stable computed form	0	meV/atom

a = 5.035 Å, b = 5.035 Å, c = 5.035 Å
α = 60.00°, β = 60.00°, γ = 60.00°
Fractional coordinates of all 6 atoms:
Dy (0.000, 0.000, 0.000)
Er (0.250, 0.250, 0.250)
Ni (0.125, 0.625, 0.625)
Ni (0.625, 0.125, 0.625)
Ni (0.625, 0.625, 0.125)
Ni (0.625, 0.625, 0.625)

---

Record 4
Entry from the Open Quantum Materials Database: Dy3Er3Ni after structural relaxation (PBE-GGA).

Summary:
crystal system	monoclinic
energy of formation from the pure elements	0.028	eV per atom
theoretical density	8.8	g cm⁻³
magnetization	0.11	μB per cell

a = 6.333 Å, b = 6.333 Å, c = 15.050 Å
α = 110.46°, β = 110.46°, γ = 45.38°
Fractional coordinates of all 14 atoms:
Dy (0.017, 0.017, 0.131)
Dy (0.042, 0.042, 0.410)
Dy (0.247, 0.247, 0.749)
Dy (0.753, 0.753, 0.251)
Dy (0.958, 0.958, 0.590)
Dy (0.983, 0.983, 0.869)
Er (0.330, 0.330, 0.427)
Er (0.338, 0.338, 0.981)
Er (0.459, 0.459, 0.256)
Er (0.541, 0.541, 0.744)
Er (0.662, 0.662, 0.019)
Er (0.670, 0.670, 0.573)
Ni (0.238, 0.238, 0.116)
Ni (0.762, 0.762, 0.884)

---

Record 5
Entry from the Open Quantum Materials Database: DyEr3Ni4 after structural relaxation (PBE-GGA).

Summary:
crystal system	monoclinic
energy of formation from the pure elements	-0.484	eV per atom
theoretical density	9.6	g cm⁻³
magnetization	0.00	μB per cell

a = 5.378 Å, b = 4.144 Å, c = 6.995 Å
α = 90.00°, β = 90.02°, γ = 90.00°
Fractional coordinates of all 8 atoms:
Dy (0.000, 0.000, 0.000)
Er (0.240, 0.000, 0.500)
Er (0.500, 0.500, 0.141)
Er (0.739, 0.500, 0.640)
Ni (0.245, 0.500, 0.782)
Ni (0.494, 0.000, 0.858)
Ni (0.745, 0.000, 0.358)
Ni (0.994, 0.500, 0.283)

---

Record 6
Entry from the Open Quantum Materials Database: DyErNi after structural relaxation (PBE-GGA).

Summary:
crystal system	cubic
energy of formation from the pure elements	-0.172	eV per atom
theoretical density	8.8	g cm⁻³
magnetization	0.00	μB per cell
offset from the most stable computed form	0	meV/atom

a = 4.692 Å, b = 4.692 Å, c = 4.692 Å
α = 60.00°, β = 60.00°, γ = 60.00°
Fractional coordinates of all 3 atoms:
Dy (0.000, 0.000, 0.000)
Er (0.500, 0.500, 0.500)
Ni (0.250, 0.250, 0.250)

---

Record 7
Entry from the Open Quantum Materials Database: DyErNi2 after structural relaxation (PBE-GGA).

Summary:
crystal system	orthorhombic
energy of formation from the pure elements	-0.476	eV per atom
theoretical density	9.5	g cm⁻³
magnetization	0.00	μB per cell

a = 4.156 Å, b = 7.006 Å, c = 5.391 Å
α = 90.00°, β = 90.00°, γ = 90.00°
Fractional coordinates of all 8 atoms:
Dy (0.000, 0.071, 0.000)
Dy (0.500, 0.929, 0.500)
Er (0.000, 0.570, 0.239)
Er (0.500, 0.430, 0.739)
Ni (0.000, 0.213, 0.495)
Ni (0.000, 0.711, 0.745)
Ni (0.500, 0.289, 0.245)
Ni (0.500, 0.787, 0.995)

---

Record 8
Entry from the Open Quantum Materials Database: DyErNi4 after structural relaxation (PBE-GGA).

Summary:
crystal system	hexagonal
energy of formation from the pure elements	-0.053	eV per atom
theoretical density	9.5	g cm⁻³
magnetization	0.00	μB per cell
offset from the most stable computed form	413	meV/atom

a = 5.346 Å, b = 5.346 Å, c = 8.002 Å
α = 90.00°, β = 90.00°, γ = 120.00°
Fractional coordinates of all 12 atoms:
Dy (0.000, 0.000, 0.000)
Dy (0.000, 0.000, 0.500)
Er (0.333, 0.667, 0.000)
Er (0.667, 0.333, 0.000)
Ni (0.000, 0.500, 0.271)
Ni (0.000, 0.500, 0.729)
Ni (0.333, 0.667, 0.500)
Ni (0.500, 0.000, 0.271)
Ni (0.500, 0.000, 0.729)
Ni (0.500, 0.500, 0.271)
Ni (0.500, 0.500, 0.729)
Ni (0.667, 0.333, 0.500)